CeEu2Cd: optimized geometry, PBE.

Unit cell a=3.8339 b=3.8339 c=9.1619 alpha=90.00 beta=90.00 gamma=90.00
Sites, in units of the cell vectors:
Eu 0.0000 0.0000 0.7815
Eu 0.0000 0.0000 0.2185
Ce 0.5000 0.5000 0.5000
Cd 0.5000 0.5000 0.0000

Output
The space-group type is No. 123. As for the crystal system: tetragonal. The raw total energy is -6.88 eV/atom. The value obtained for the density is 6.86 g/cm³. As for the formation energy: -26 meV per atom. The calculation puts the energy above the most stable polymorph in this dataset at 0.0000 eV per atom.

---

CeEu2Cd: optimized geometry, PBE.

Unit cell a=3.6885 b=3.6885 c=11.6946 alpha=80.93 beta=80.93 gamma=60.00
Sites, in units of the cell vectors:
Eu 0.7560 0.7560 0.7319
Eu 0.2440 0.2440 0.2681
Ce 0.0000 0.0000 0.0000
Cd 0.5000 0.5000 0.5000

Output
The space-group type is No. 166. As for the crystal system: trigonal. The raw total energy is -6.80 eV/atom. The value obtained for the density is 6.82 g/cm³. As for the formation energy: 46 meV per atom. The calculation puts the energy above the most stable polymorph in this dataset at 0.0724 eV per atom.

---

CeEuCd: optimized geometry, PBE.

Unit cell a=3.8275 b=3.8275 c=7.0615 alpha=105.72 beta=105.72 gamma=90.00
Sites, in units of the cell vectors:
Eu 0.0146 0.0146 0.0292
Ce 0.3152 0.3152 0.6304
Cd 0.6702 0.6702 0.3404

Output
The space-group type is No. 107. As for the crystal system: tetragonal. The raw total energy is -5.77 eV/atom. The value obtained for the density is 7.03 g/cm³. As for the formation energy: -60 meV per atom. The calculation puts the energy above the most stable polymorph in this dataset at 0.0000 eV per atom.

---

Repeat the first record exactly.
CeEu2Cd: optimized geometry, PBE.

Unit cell a=3.8339 b=3.8339 c=9.1619 alpha=90.00 beta=90.00 gamma=90.00
Sites, in units of the cell vectors:
Eu 0.0000 0.0000 0.7815
Eu 0.0000 0.0000 0.2185
Ce 0.5000 0.5000 0.5000
Cd 0.5000 0.5000 0.0000

Output
The space-group type is No. 123. As for the crystal system: tetragonal. The raw total energy is -6.88 eV/atom. The value obtained for the density is 6.86 g/cm³. As for the formation energy: -26 meV per atom. The calculation puts the energy above the most stable polymorph in this dataset at 0.0000 eV per atom.

---

Copy entry 3 word for word.
CeEuCd: optimized geometry, PBE.

Unit cell a=3.8275 b=3.8275 c=7.0615 alpha=105.72 beta=105.72 gamma=90.00
Sites, in units of the cell vectors:
Eu 0.0146 0.0146 0.0292
Ce 0.3152 0.3152 0.6304
Cd 0.6702 0.6702 0.3404

Output
The space-group type is No. 107. As for the crystal system: tetragonal. The raw total energy is -5.77 eV/atom. The value obtained for the density is 7.03 g/cm³. As for the formation energy: -60 meV per atom. The calculation puts the energy above the most stable polymorph in this dataset at 0.0000 eV per atom.

---

> Number 1 is which compound?

CeEu2Cd